Crystalline MnBiMo2S at its relaxed geometry, computed with PBE.

Properties
The formation energy from raw total energies comes out at 122.8 kJ per mole of atoms. Its crystal system is tetragonal. The calculation puts the total magnetization at 2.48 μB/cell.

Cell: 4.5641 4.5641 4.9498 Å, 90.00 90.00 90.00°
Closest atoms and distances in Å follow each position.
Positions (direct):
Mn 0.0000 0.0000 0.0000  4 Mo 2.28, 2 Bi 2.47
Bi 0.0000 0.0000 0.5000  2 Mn 2.47
Mo 0.0000 0.5000 0.0000  2 Mn 2.28
Mo 0.5000 0.0000 0.0000  2 Mn 2.28
S 0.5000 0.5000 0.5000  4 Bi 3.23, 8 Mo 3.37